No. 1
Material: Sm2HoTc9
Method: DFT, GGA-PBE
State: optimized geometry

Unit cell a=5.362 b=5.362 c=9.348 alpha=73.34 beta=73.34 gamma=60.00
Atoms (fractional coordinates):
Sm: 0.856 0.856 0.432
Sm: 0.144 0.144 0.568
Ho: 0.000 0.000 0.000
Tc: 0.663 0.663 0.012
Tc: 0.337 0.337 0.988
Tc: 0.500 0.500 0.500
Tc: 0.414 0.414 0.246
Tc: 0.926 0.414 0.246
Tc: 0.414 0.926 0.246
Tc: 0.586 0.586 0.754
Tc: 0.586 0.074 0.754
Tc: 0.074 0.586 0.754

## Properties
Space group   No. 166
Energy of formation   0.0183 eV/atom
Total magnetic moment   0.000 μB/atom
E_tot   -8.9242 eV per atom


No. 2
Material: SmHoTc
Method: DFT, GGA-PBE
State: optimized geometry

Unit cell a=6.265 b=6.265 c=13.788 alpha=76.87 beta=76.87 gamma=60.00
Atoms (fractional coordinates):
Sm: 0.723 0.723 0.831
Sm: 0.277 0.277 0.169
Sm: 0.036 0.036 0.892
Sm: 0.964 0.964 0.108
Sm: 0.184 0.184 0.448
Sm: 0.816 0.816 0.552
Ho: 0.230 0.719 0.331
Ho: 0.719 0.230 0.331
Ho: 0.719 0.719 0.331
Ho: 0.770 0.281 0.669
Ho: 0.281 0.770 0.669
Ho: 0.281 0.281 0.669
Tc: 0.377 0.377 0.868
Tc: 0.623 0.623 0.132
Tc: 0.000 0.500 0.000
Tc: 0.500 0.000 0.000
Tc: 0.500 0.500 0.000
Tc: 0.500 0.500 0.500

## Properties
Space group   No. 166
Energy of formation   0.1973 eV/atom
Total magnetic moment   0.002 μB/atom
Polymorph energy (0 for the lowest one)   196 meV/atom
E_tot   -6.3570 eV per atom


What did the first record say?
Material: Sm2HoTc9
Method: DFT, GGA-PBE
State: optimized geometry

Unit cell a=5.362 b=5.362 c=9.348 alpha=73.34 beta=73.34 gamma=60.00
Atoms (fractional coordinates):
Sm: 0.856 0.856 0.432
Sm: 0.144 0.144 0.568
Ho: 0.000 0.000 0.000
Tc: 0.663 0.663 0.012
Tc: 0.337 0.337 0.988
Tc: 0.500 0.500 0.500
Tc: 0.414 0.414 0.246
Tc: 0.926 0.414 0.246
Tc: 0.414 0.926 0.246
Tc: 0.586 0.586 0.754
Tc: 0.586 0.074 0.754
Tc: 0.074 0.586 0.754

## Properties
Space group   No. 166
Energy of formation   0.0183 eV/atom
Total magnetic moment   0.000 μB/atom
E_tot   -8.9242 eV per atom


Among the records above, which one has the highest energy of formation?
SmHoTc


Look up the E_tot of the second one.
-6.3570 eV per atom


The lowest total magnetic moment belongs to which entry?
Sm2HoTc9